Material: CoHgO2F
Method: DFT, PBE with a Hubbard U
State: optimized geometry

Calculated values
The calculation puts the uncorrected energy at -0.30203 Ry per atom.

a b c (Å): 3.8106 3.8106 4.0774
angles (deg): 90.00 90.00 90.00
With the nearest neighbours (Å) after each atom.
Positions (direct):
Co: 0.0000 0.0000 0.0000  4 O 1.91, 2 F 2.04
Hg: 0.5000 0.5000 0.5000  4 F 2.69, 8 O 2.79
O: 0.0000 0.5000 0.0000  2 Co 1.91
O: 0.5000 0.0000 0.0000  2 Co 1.91
F: 0.0000 0.0000 0.5000  2 Co 2.04